No. 1
Here is a geometry-optimized SbIr2W structure from the Alexandria database. Energies are from GGA-PBE.

Results
formation energy from raw total energies = 0.22 eV per atom
energy = -67.9 eV for the cell shown
V = 16.32 A^3/atom
magnetization = 0.00 μB per atom
space-group type = I4/mmm

Cell and atoms, written as extended XYZ:
```
8
Lattice="4.035 0.000 0.000 0.000 4.035 0.000 0.000 0.000 8.018" Properties=species:S:1:pos:R:3 pbc="T T T"
Sb 0.000 0.000 0.000
Sb 2.018 2.018 4.009
Ir 0.000 2.018 2.005
Ir 0.000 2.018 6.014
Ir 2.018 0.000 2.005
Ir 2.018 0.000 6.014
W 0.000 0.000 4.009
W 2.018 2.018 0.000
```

No. 2
Here is a geometry-optimized La2NpH12Pd3 structure from the Alexandria database. Energies are from GGA-PBE.

Results
energy = -82.9 eV for the cell shown
V = 10.53 A^3/atom
magnetization = 0.24 μB per atom
space-group type = R-3m

Cell and atoms, written as extended XYZ:
```
18
Lattice="3.201 1.848 5.341 -3.201 1.848 5.341 0.000 -3.697 5.341" Properties=species:S:1:pos:R:3 pbc="T T T"
La 0.000 0.000 1.801
La 0.000 0.000 14.221
Np 0.000 0.000 8.011
H -1.805 -1.042 7.245
H 0.000 -1.477 5.917
H -1.279 0.738 5.917
H 0.000 -2.084 8.777
H -1.805 1.042 8.777
H -1.279 -0.738 10.105
H 1.279 0.738 5.917
H 1.805 -1.042 7.245
H 0.000 2.084 7.245
H 1.279 -0.738 10.105
H 0.000 1.477 10.105
H 1.805 1.042 8.777
Pd -1.601 -0.924 5.341
Pd -1.601 0.924 10.681
Pd 0.000 1.848 5.341
```

No. 3
Here is a geometry-optimized TeSNF2 structure from the Alexandria database. Energies are from GGA-PBE.

Results
formation energy from raw total energies = 0.23 eV per atom
energy = -18.2 eV for the cell shown
V = 15.78 A^3/atom
energy relative to the lowest polymorph listed for this composition = 0.0000 eV per atom
magnetization = 0.18 μB per atom
space-group type = P4/mmm

Cell and atoms, written as extended XYZ:
```
5
Lattice="4.951 0.000 0.000 0.000 4.951 0.000 0.000 0.000 3.218" Properties=species:S:1:pos:R:3 pbc="T T T"
Te 0.000 0.000 0.000
S 2.476 2.476 1.609
N 2.476 2.476 0.000
F 0.000 2.476 1.609
F 2.476 0.000 1.609
```